Crystalline NiIr at its relaxed geometry. Source: Alexandria via LeMat-Bulk, functional PBE. Values from VASP.

The structure in Quantum ESPRESSO input format:
```
&SYSTEM
  ibrav = 0, nat = 8, ntyp = 2
/
ATOMIC_SPECIES
Ir 192.22 Ir.upf
Ni 58.69 Ni.upf
ATOMIC_POSITIONS angstrom
Ir 0.939 1.309 3.092
Ir 3.391 1.813 5.791
Ir 0.856 -0.244 0.987
Ir 3.307 0.260 3.686
Ni 2.906 1.306 1.317
Ni 2.991 2.860 3.423
Ni 1.256 -1.292 3.355
Ni 1.341 0.262 5.461
CELL_PARAMETERS angstrom
-1.845 1.576 3.875
2.000 -3.118 2.219
4.092 3.111 0.683
```

Values from the calculation:
- Energy relative to the elements: 0.0285 eV/atom
- E_tot: -58.3 eV for the cell shown
- SG: No. 62
- Density of states at the Fermi level: 1.62 states/eV per atom